1.
# PBE GePdPt, optimized geometry
data_GePdPt
_chemical_formula_sum 'Ge2 Pd2 Pt2'
_cell_length_a 7.114
_cell_length_b 7.114
_cell_length_c 7.114
_cell_angle_alpha 33.69
_cell_angle_beta 33.69
_cell_angle_gamma 33.69
_symmetry_space_group_name_H-M 'P 1'
_symmetry_Int_Tables_number 1
_symmetry_space_group_name_Hall 'P 1'
loop_
_atom_site_label
_atom_site_fract_x
_atom_site_fract_y
_atom_site_fract_z
Ge1 0.000 0.000 0.000
Ge2 0.161 0.161 0.161
Pd1 0.709 0.709 0.709
Pd2 0.873 0.873 0.873
Pt1 0.289 0.289 0.289
Pt2 0.455 0.455 0.455
# **Total DFT energy (no corrections)**: -5.7139 eV per atom

***

2.
# PBE Ge2PdPt3, optimized geometry
data_Ge2PdPt3
_chemical_formula_sum 'Ge4 Pd2 Pt6'
_cell_length_a 3.781
_cell_length_b 7.677
_cell_length_c 6.583
_cell_angle_alpha 90.00
_cell_angle_beta 90.00
_cell_angle_gamma 90.00
_symmetry_space_group_name_H-M 'P 1'
_symmetry_Int_Tables_number 1
_symmetry_space_group_name_Hall 'P 1'
loop_
_atom_site_label
_atom_site_fract_x
_atom_site_fract_y
_atom_site_fract_z
Ge1 0.000 0.129 0.000
Ge2 0.000 0.871 0.500
Ge3 0.500 0.367 0.499
Ge4 0.500 0.633 0.999
Pd1 0.500 0.085 0.291
Pd2 0.500 0.915 0.791
Pt1 0.000 0.171 0.620
Pt2 0.000 0.397 0.220
Pt3 0.000 0.603 0.720
Pt4 0.000 0.829 0.120
Pt5 0.500 0.333 0.885
Pt6 0.500 0.667 0.385
# **Energy above the lowest structure with this stoichiometry**: 0 kJ/mol of formula units
# **Total DFT energy (no corrections)**: -5.8568 eV per atom

***

3.
# PBE Ge2Pd3Pt5, optimized geometry
data_Ge2Pd3Pt5
_chemical_formula_sum 'Ge4 Pd6 Pt10'
_cell_length_a 8.449
_cell_length_b 8.449
_cell_length_c 8.449
_cell_angle_alpha 99.91
_cell_angle_beta 92.17
_cell_angle_gamma 142.18
_symmetry_space_group_name_H-M 'P 1'
_symmetry_Int_Tables_number 1
_symmetry_space_group_name_Hall 'P 1'
loop_
_atom_site_label
_atom_site_fract_x
_atom_site_fract_y
_atom_site_fract_z
Ge1 0.133 0.134 0.267
Ge2 0.367 0.634 0.001
Ge3 0.633 0.366 0.999
Ge4 0.867 0.866 0.733
Pd1 0.215 0.360 0.575
Pd2 0.250 0.250 0.000
Pd3 0.285 0.860 0.146
Pd4 0.715 0.140 0.854
Pd5 0.750 0.750 0.000
Pd6 0.785 0.640 0.425
Pt1 0.169 0.616 0.786
Pt2 0.250 0.505 0.255
Pt3 0.250 0.750 0.500
Pt4 0.250 0.995 0.745
Pt5 0.331 0.116 0.447
Pt6 0.669 0.884 0.553
Pt7 0.750 0.005 0.255
Pt8 0.750 0.250 0.500
Pt9 0.750 0.495 0.745
Pt10 0.831 0.384 0.214
# **Total DFT energy (no corrections)**: -5.6267 eV per atom

***

4.
# PBE GePd2Pt, optimized geometry
data_GePd2Pt
_chemical_formula_sum 'Ge1 Pd2 Pt1'
_cell_length_a 2.963
_cell_length_b 2.963
_cell_length_c 6.997
_cell_angle_alpha 90.00
_cell_angle_beta 90.00
_cell_angle_gamma 90.00
_symmetry_space_group_name_H-M 'P 1'
_symmetry_Int_Tables_number 1
_symmetry_space_group_name_Hall 'P 1'
loop_
_atom_site_label
_atom_site_fract_x
_atom_site_fract_y
_atom_site_fract_z
Ge1 0.000 0.000 0.000
Pd1 0.500 0.500 0.226
Pd2 0.500 0.500 0.774
Pt1 0.000 0.000 0.500
# **Total DFT energy (no corrections)**: -5.4859 eV per atom

***

Which of these has the lowest total DFT energy (no corrections)?
Ge2PdPt3